Below is a relaxed CoSi2Ni crystal, with properties calculated at the PBE-GGA level.

Summary:
DOS(E_F)	0.297	states/eV per atom
raw total energy	-6.309	eV/atom
energy relative to the elements, uncorrected	-375	meV/atom

Lattice parameters (Å, degrees): 4.4967 4.4967 4.4967 135.37 135.37 64.95
Element x y z (fractional)
Co 0.0000 0.0000 0.0000
Si 0.5000 0.5000 0.0000
Si 0.7500 0.2500 0.5000
Ni 0.2500 0.7500 0.5000

=====

Below is a relaxed SrScTlHg2 crystal, with properties calculated at the PBE-GGA level.

Summary:
formation enthalpy at 0 K	0.727	eV/atom
DOS(E_F)	1.531	states/eV per atom
raw total energy	-1.470	eV/atom

Lattice parameters (Å, degrees): 5.8990 5.8990 6.2246 90.00 90.00 90.00
Element x y z (fractional)
Sr 0.0000 0.0000 0.0000
Sc 0.0000 0.0000 0.5000
Tl 0.5000 0.5000 0.5000
Hg 0.0000 0.5000 0.0000
Hg 0.5000 0.0000 0.0000

=====

Below is a relaxed Ac2BiOs crystal, with properties calculated at the PBE-GGA level.

Summary:
formation enthalpy at 0 K	0.002	eV/atom
DOS(E_F)	0.561	states/eV per atom
raw total energy	-5.830	eV/atom

Lattice parameters (Å, degrees): 5.3692 5.3692 4.2002 90.00 90.00 90.00
Element x y z (fractional)
Ac 0.0000 0.5000 0.0000
Ac 0.5000 0.0000 0.0000
Bi 0.0000 0.0000 0.5000
Os 0.5000 0.5000 0.5000

=====

Below is a relaxed Zn2CuPBr crystal, with properties calculated at the PBE-GGA level.

Summary:
DOS(E_F)	0.183	states/eV per atom
raw total energy	-2.779	eV/atom
energy relative to the elements, uncorrected	-34	meV/atom

Lattice parameters (Å, degrees): 4.8886 4.8886 4.3860 90.00 90.00 90.00
Element x y z (fractional)
Zn 0.0000 0.5000 0.0000
Zn 0.5000 0.0000 0.0000
Cu 0.0000 0.0000 0.5000
P 0.0000 0.0000 0.0000
Br 0.5000 0.5000 0.5000

=====

Below is a relaxed CsLi2GaPd crystal, with properties calculated at the PBE-GGA level.

Summary:
formation enthalpy at 0 K	-0.146	eV/atom
DOS(E_F)	0.482	states/eV per atom
raw total energy	-2.726	eV/atom

Lattice parameters (Å, degrees): 5.3272 5.3272 4.8632 90.00 90.00 90.00
Element x y z (fractional)
Cs 0.0000 0.0000 0.0000
Li 0.0000 0.5000 0.5000
Li 0.5000 0.0000 0.5000
Ga 0.5000 0.5000 0.0000
Pd 0.5000 0.5000 0.5000

=====

Below is a relaxed KAlS2 crystal, with properties calculated at the PBE-GGA level.

Summary:
DOS(E_F)	0.000	states/eV per atom
raw total energy	-4.426	eV/atom
energy relative to the elements, uncorrected	-1153	meV/atom

Lattice parameters (Å, degrees): 6.5154 3.4943 17.5822 90.00 90.00 90.00
Element x y z (fractional)
K 0.1445 0.2500 0.1661
K 0.3555 0.7500 0.6661
K 0.6445 0.2500 0.3339
K 0.8555 0.7500 0.8339
Al 0.1174 0.7500 0.4348
Al 0.3826 0.2500 0.9348
Al 0.6174 0.7500 0.0652
Al 0.8826 0.2500 0.5652
S 0.1514 0.2500 0.3458
S 0.2234 0.2500 0.5257
S 0.2766 0.7500 0.0257
S 0.3486 0.7500 0.8458
S 0.6514 0.2500 0.1542
S 0.7234 0.2500 0.9743
S 0.7766 0.7500 0.4743
S 0.8486 0.7500 0.6542

=====

Below is a relaxed Pm3NdCo crystal, with properties calculated at the PBE-GGA level.

Summary:
formation enthalpy at 0 K	-0.059	eV/atom
DOS(E_F)	0.976	states/eV per atom
polymorph energy (0 for the lowest one)	0.0	meV per atom
raw total energy	-5.284	eV/atom

Lattice parameters (Å, degrees): 7.3402 7.3402 8.4251 124.90 124.90 70.62
Element x y z (fractional)
Pm 0.0453 0.4544 0.7930
Pm 0.0456 0.0456 0.2525
Pm 0.4544 0.0453 0.7930
Pm 0.5456 0.9547 0.2070
Pm 0.9544 0.9544 0.7475
Pm 0.9547 0.5456 0.2070
Nd 0.4542 0.4542 0.6626
Nd 0.5458 0.5458 0.3374
Co 0.2492 0.2492 0.1208
Co 0.7508 0.7508 0.8792

=====

Below is a relaxed TbY3Co8 crystal, with properties calculated at the PBE-GGA level.

Summary:
formation enthalpy at 0 K	-0.180	eV/atom
DOS(E_F)	1.295	states/eV per atom
raw total energy	-6.919	eV/atom

Lattice parameters (Å, degrees): 8.8067 8.8067 8.8067 33.54 33.54 33.54
Element x y z (fractional)
Tb 0.0000 0.0000 0.0000
Y 0.3748 0.3748 0.3748
Y 0.4999 0.4999 0.4999
Y 0.8750 0.8750 0.8750
Co 0.1874 0.1874 0.1874
Co 0.4375 0.4375 0.9371
Co 0.4375 0.9371 0.4375
Co 0.4375 0.9375 0.9375
Co 0.6874 0.6874 0.6874
Co 0.9371 0.4375 0.4375
Co 0.9375 0.4375 0.9375
Co 0.9375 0.9375 0.4375

=====

Below is a relaxed ZnIBr2 crystal, with properties calculated at the PBE-GGA level.

Summary:
DOS(E_F)	0.807	states/eV per atom
polymorph energy (0 for the lowest one)	997.5	meV per atom
raw total energy	-1.181	eV/atom
energy relative to the elements, uncorrected	361	meV/atom

Lattice parameters (Å, degrees): 5.4048 5.4048 5.4048 60.00 60.00 60.00
Element x y z (fractional)
Zn 0.0000 0.0000 0.0000
I 0.5000 0.5000 0.5000
Br 0.2500 0.2500 0.2500
Br 0.7500 0.7500 0.7500

=====

Below is a relaxed Mn2W crystal, with properties calculated at the PBE-GGA level.

Summary:
formation enthalpy at 0 K	-0.057	eV/atom
DOS(E_F)	1.358	states/eV per atom
polymorph energy (0 for the lowest one)	24.9	meV per atom
raw total energy	-10.488	eV/atom

Lattice parameters (Å, degrees): 4.7271 4.7271 4.7271 60.00 60.00 60.00
Element x y z (fractional)
Mn 0.0000 0.0000 0.0000
Mn 0.0000 0.0000 0.5000
Mn 0.0000 0.5000 0.0000
Mn 0.5000 0.0000 0.0000
W 0.3750 0.3750 0.3750
W 0.6250 0.6250 0.6250

=====

Below is a relaxed La2Si2Se crystal, with properties calculated at the PBE-GGA level.

Summary:
DOS(E_F)	0.652	states/eV per atom
raw total energy	-5.742	eV/atom
energy relative to the elements, uncorrected	-905	meV/atom

Lattice parameters (Å, degrees): 8.1127 8.1127 4.2980 90.00 90.00 90.00
Element x y z (fractional)
La 0.1869 0.3131 0.0000
La 0.3131 0.8131 0.0000
La 0.6869 0.1869 0.0000
La 0.8131 0.6869 0.0000
Si 0.0989 0.5989 0.5000
Si 0.4011 0.0989 0.5000
Si 0.5989 0.9011 0.5000
Si 0.9011 0.4011 0.5000
Se 0.0000 0.0000 0.0000
Se 0.5000 0.5000 0.0000

=====

Below is a relaxed HfOsF2 crystal, with properties calculated at the PBE-GGA level.

Summary:
DOS(E_F)	0.399	states/eV per atom
polymorph energy (0 for the lowest one)	0.0	meV per atom
raw total energy	-7.159	eV/atom
energy relative to the elements, uncorrected	-927	meV/atom

Lattice parameters (Å, degrees): 8.3158 8.3158 8.3158 153.73 153.73 37.49
Element x y z (fractional)
Hf 0.0000 0.0000 0.0000
Hf 0.7500 0.2500 0.5000
Os 0.2500 0.7500 0.5000
Os 0.5000 0.5000 0.0000
F 0.1020 0.6250 0.9770
F 0.3750 0.3520 0.4770
F 0.6480 0.1250 0.0230
F 0.8750 0.8980 0.5230

=====

Question: Among the records above, which one has the highest raw total energy?
Answer: ZnIBr2

=====

Repeat the first record exactly.
Below is a relaxed CoSi2Ni crystal, with properties calculated at the PBE-GGA level.

Summary:
DOS(E_F)	0.297	states/eV per atom
raw total energy	-6.309	eV/atom
energy relative to the elements, uncorrected	-375	meV/atom

Lattice parameters (Å, degrees): 4.4967 4.4967 4.4967 135.37 135.37 64.95
Element x y z (fractional)
Co 0.0000 0.0000 0.0000
Si 0.5000 0.5000 0.0000
Si 0.7500 0.2500 0.5000
Ni 0.2500 0.7500 0.5000